Entry 1:
## HfPaReNi (PBE)

Data for a relaxed HfPaReNi crystal.

a = 4.7162 Å, b = 4.7162 Å, c = 4.7162 Å
α = 60.00°, β = 60.00°, γ = 60.00°
Sites, in units of the cell vectors:
Hf 0.0000 0.0000 0.0000
Pa 0.5000 0.5000 0.5000
Re 0.2500 0.2500 0.2500
Ni 0.7500 0.7500 0.7500

Properties
For the formation energy, the calculation gives -0.18 eV per atom.

***

Entry 2:
## HfPaNiRu (PBE)

Data for a relaxed HfPaNiRu crystal.

a = 4.6948 Å, b = 4.6948 Å, c = 4.6948 Å
α = 60.00°, β = 60.00°, γ = 60.00°
Sites, in units of the cell vectors:
Hf 0.0000 0.0000 0.0000
Pa 0.5000 0.5000 0.5000
Ni 0.7500 0.7500 0.7500
Ru 0.2500 0.2500 0.2500

Properties
For the formation energy, the calculation gives -0.33 eV per atom.

***

Entry 3:
## HfPaTcNi (PBE)

Data for a relaxed HfPaTcNi crystal.

a = 4.6990 Å, b = 4.6990 Å, c = 4.6990 Å
α = 60.00°, β = 60.00°, γ = 60.00°
Sites, in units of the cell vectors:
Hf 0.0000 0.0000 0.0000
Pa 0.5000 0.5000 0.5000
Tc 0.7500 0.7500 0.7500
Ni 0.2500 0.2500 0.2500

Properties
For the formation energy, the calculation gives -0.25 eV per atom.

***

Entry 4:
## HfNiPb (PBE)

Data for a relaxed HfNiPb crystal.

a = 5.0026 Å, b = 4.1111 Å, c = 6.2063 Å
α = 90.00°, β = 97.90°, γ = 90.00°
Sites, in units of the cell vectors:
Hf 0.1716 0.2500 0.1702
Hf 0.8284 0.7500 0.8298
Ni 0.3342 0.7500 0.9770
Ni 0.6658 0.2500 0.0230
Pb 0.2833 0.2500 0.6637
Pb 0.7167 0.7500 0.3363

Properties
For the formation energy, the calculation gives -0.17 eV per atom.

***

Entry 5:
## Hf2NiPb2 (PBE)

Data for a relaxed Hf2NiPb2 crystal.

a = 6.7908 Å, b = 6.7908 Å, c = 4.9615 Å
α = 90.00°, β = 90.00°, γ = 90.00°
Sites, in units of the cell vectors:
Hf 0.1636 0.3364 0.0000
Hf 0.3364 0.8364 0.0000
Hf 0.6636 0.1636 0.0000
Hf 0.8364 0.6636 0.0000
Ni 0.0000 0.0000 0.0000
Ni 0.5000 0.5000 0.0000
Pb 0.1651 0.6651 0.5000
Pb 0.3349 0.1651 0.5000
Pb 0.6651 0.8349 0.5000
Pb 0.8349 0.3349 0.5000

Properties
For the formation energy, the calculation gives 0.14 eV per atom.

***

Entry 6:
## HfNiPb2 (PBE)

Data for a relaxed HfNiPb2 crystal.

a = 6.2321 Å, b = 6.2321 Å, c = 6.2321 Å
α = 103.41°, β = 103.41°, γ = 122.42°
Sites, in units of the cell vectors:
Hf 0.0000 0.0000 0.0000
Hf 0.7500 0.2500 0.5000
Ni 0.2500 0.7500 0.5000
Ni 0.5000 0.5000 0.0000
Pb 0.1732 0.1250 0.5482
Pb 0.3750 0.8268 0.9518
Pb 0.5768 0.6250 0.4518
Pb 0.8750 0.4232 0.0482

Properties
For the formation energy, the calculation gives 0.30 eV per atom.

***

Entry 7:
## HfNiPb (PBE)

Data for a relaxed HfNiPb crystal.

a = 3.2658 Å, b = 3.9495 Å, c = 10.2905 Å
α = 90.16°, β = 90.12°, γ = 90.00°
Sites, in units of the cell vectors:
Hf 0.0010 0.2511 0.1349
Hf 0.9990 0.7489 0.8651
Ni 0.4995 0.2494 0.9261
Ni 0.5005 0.7506 0.0739
Pb 0.4968 0.2477 0.6483
Pb 0.5032 0.7523 0.3517

Properties
For the formation energy, the calculation gives -0.26 eV per atom.

***

Entry 8:
## Hf4Ni2Pb (PBE)

Data for a relaxed Hf4Ni2Pb crystal.

a = 9.8235 Å, b = 9.8235 Å, c = 9.8235 Å
α = 24.98°, β = 24.98°, γ = 24.98°
Sites, in units of the cell vectors:
Hf 0.1045 0.1045 0.1045
Hf 0.3011 0.3011 0.3011
Hf 0.6989 0.6989 0.6989
Hf 0.8955 0.8955 0.8955
Ni 0.3944 0.3944 0.3944
Ni 0.6056 0.6056 0.6056
Pb 0.5000 0.5000 0.5000

Properties
For the formation energy, the calculation gives -0.01 eV per atom.

***

What did we get for N(E_F)? Answer: 1.696 1.470 1.735 0.768 0.688 0.572 0.450 1.010 states/eV/atom, in the order shown.